Entry from the Alexandria database: crystalline SrEr4Tl5 at its relaxed geometry (PBE).

Output
density of states at the Fermi level: 5.67 states/eV/cell
theoretical density: 10.51 g cm⁻³
final energy: -3.51 eV per atom

abc: 3.8022 3.8022 19.4332
angles: 90.00 90.00 90.00
With the nearest neighbours (Å) after each atom.
Fractional positions:
Sr (0.0000, 0.0000, 0.0000)  8 Tl 3.51, 4 Sr 3.80
Er (0.0000, 0.0000, 0.2107)  8 Tl 3.26-3.29
Er (0.0000, 0.0000, 0.4039)  8 Tl 3.26-3.27
Er (0.0000, 0.0000, 0.5961)  8 Tl 3.26-3.27
Er (0.0000, 0.0000, 0.7893)  8 Tl 3.26-3.29
Tl (0.5000, 0.5000, 0.1161)  4 Er 3.26, 4 Sr 3.51
Tl (0.5000, 0.5000, 0.3086)  8 Er 3.26-3.29
Tl (0.5000, 0.5000, 0.5000)  8 Er 3.27
Tl (0.5000, 0.5000, 0.6914)  8 Er 3.26-3.29
Tl (0.5000, 0.5000, 0.8839)  4 Er 3.26, 4 Sr 3.51